*one*
Here is a relaxed structure of Hf2Zr2Cd from Alexandria. Energies are from PBE.

Lattice parameters (Å, degrees): 14.510 5.193 3.044 90.00 101.99 90.00
Sites, in units of the cell vectors:
Hf  0.213  0.000  0.215
Hf  0.287  0.500  0.785
Hf  0.713  0.500  0.215
Hf  0.787  0.000  0.785
Zr  0.101  0.500  0.100
Zr  0.399  0.000  0.900
Zr  0.601  0.000  0.100
Zr  0.899  0.500  0.900
Cd  0.000  0.000  0.500
Cd  0.500  0.500  0.500

Calculated values
- DOS at the Fermi energy (states/eV per cell) = 7.89



*two*
Here is a relaxed structure of Hf2Zr2Cd from Alexandria. Energies are from PBE.

Lattice parameters (Å, degrees): 7.564 7.564 5.927 104.93 104.93 43.52
Sites, in units of the cell vectors:
Hf  0.015  0.185  0.455
Hf  0.185  0.015  0.955
Hf  0.815  0.985  0.045
Hf  0.985  0.815  0.545
Zr  0.200  0.408  0.841
Zr  0.408  0.200  0.341
Zr  0.592  0.800  0.659
Zr  0.800  0.592  0.159
Cd  0.413  0.587  0.250
Cd  0.587  0.413  0.750

Calculated values
- DOS at the Fermi energy (states/eV per cell) = 11.01



Q: What are the energies relative to the best structure? A: *one* 6; *two* 0, in meV per atom.